(1)
# ZnGa2Se4

A geometry-optimized ZnGa2Se4 structure (PBE, Alexandria via LeMat-Bulk).

Geometry as POSCAR:
```
ZnGa2Se4
1.0
6.814 0.005 0.000
2.166 6.461 0.000
-4.490 -3.233 3.978
Se Zn Ga
4 1 2
direct
0.626 0.602 0.494
0.108 0.132 0.506
0.868 0.374 0.976
0.398 0.892 0.024
0.000 0.000 0.000
0.250 0.750 0.500
0.500 0.500 0.000
```

Properties
Its space group is No. 82. The energy comes out at -25.81 eV for the cell shown. For the formation energy from raw total energies, the calculation gives -4.54 eV per formula unit.

(2)
# AgHg2

A geometry-optimized AgHg2 structure (PBE, Alexandria via LeMat-Bulk).

Geometry as POSCAR:
```
AgHg2
1.0
5.555 0.000 0.000
0.000 4.766 0.000
0.000 0.000 9.946
Ag Hg
4 8
direct
0.787 0.750 0.174
0.213 0.250 0.826
0.713 0.250 0.674
0.287 0.750 0.326
0.673 0.250 0.983
0.612 0.250 0.329
0.112 0.250 0.171
0.888 0.750 0.829
0.327 0.750 0.017
0.388 0.750 0.671
0.827 0.750 0.483
0.173 0.250 0.517
```

Properties
Its space group is No. 62. The formation energy comes out at 0.088 eV/atom. The energy comes out at -12.76 eV for the cell shown.

(3)
# LiZn2Ag

A geometry-optimized LiZn2Ag structure (PBE, Alexandria via LeMat-Bulk).

Geometry as POSCAR:
```
LiZn2Ag
1.0
-2.943 -2.449 -4.726
-1.569 2.870 5.128
2.966 4.479 2.852
Zn Li Ag
2 1 1
direct
0.000 0.741 0.741
0.000 0.259 0.259
0.000 0.000 0.000
0.000 0.500 0.500
```

Properties
Its space group is No. 71. The formation energy comes out at 0.059 eV/atom. The energy comes out at -7.08 eV for the cell shown.

(4)
# LiAc3Nd3Te8

A geometry-optimized LiAc3Nd3Te8 structure (PBE, Alexandria via LeMat-Bulk).

Geometry as POSCAR:
```
LiAc3Nd3Te8
1.0
-7.502 -2.002 -4.822
2.786 -5.611 6.657
-3.578 8.223 2.152
Te Nd Ac Li
8 3 3 1
direct
0.253 0.009 0.265
0.745 0.490 0.735
0.756 0.009 0.265
0.756 0.512 0.265
0.255 0.510 0.265
0.747 0.991 0.735
0.244 0.991 0.735
0.244 0.488 0.735
0.000 0.500 0.500
0.500 0.000 0.500
0.500 0.500 0.500
0.500 0.500 0.000
0.000 0.000 0.000
0.000 0.500 0.000
0.000 0.000 0.500
```

Properties
Its space group is No. 166. The energy comes out at -75.16 eV for the cell shown. For the formation energy from raw total energies, the calculation gives -21.48 eV per formula unit.

(5)
# BPtAu3

A geometry-optimized BPtAu3 structure (PBE, Alexandria via LeMat-Bulk).

Geometry as POSCAR:
```
BPtAu3
1.0
5.101 0.000 0.000
0.000 5.101 0.000
0.000 0.000 5.101
B Au Pt
1 3 1
direct
0.500 0.500 0.500
0.000 0.000 0.500
0.000 0.500 0.000
0.500 0.000 0.000
0.000 0.000 0.000
```

Properties
Its space group is No. 221. The formation energy comes out at 1.643 eV/atom. The energy comes out at -14.34 eV for the cell shown.

(6)
# ScNbBSb2

A geometry-optimized ScNbBSb2 structure (PBE, Alexandria via LeMat-Bulk).

Geometry as POSCAR:
```
ScNbBSb2
1.0
-2.687 -4.126 -2.173
-0.747 -1.555 3.877
-4.566 2.837 0.259
Nb Sb B Sc
1 2 1 1
direct
0.000 0.000 0.000
0.500 0.000 0.000
0.000 0.000 0.500
0.000 0.500 0.000
0.500 0.500 0.500
```

Properties
Its space group is No. 123. The energy comes out at -28.67 eV for the cell shown. For the formation energy from raw total energies, the calculation gives 2.65 eV per formula unit.

(7)
# BeTl2P

A geometry-optimized BeTl2P structure (PBE, Alexandria via LeMat-Bulk).

Geometry as POSCAR:
```
BeTl2P
1.0
3.699 0.000 0.000
0.000 3.127 -0.145
0.000 0.279 7.515
Tl P Be
2 1 1
direct
0.000 0.512 0.486
0.000 0.988 0.014
0.500 0.750 0.750
0.500 0.250 0.250
```

Properties
Its space group is No. 10. The formation energy comes out at 0.671 eV/atom. The energy comes out at -11.19 eV for the cell shown.

(8)
# LiHoCu17

A geometry-optimized LiHoCu17 structure (PBE, Alexandria via LeMat-Bulk).

Geometry as POSCAR:
```
LiHoCu17
1.0
-5.861 -2.602 -0.024
1.786 -6.109 -0.780
-0.185 -1.734 6.171
Cu Li Ho
17 1 1
direct
0.996 0.501 0.996
0.851 0.345 0.345
0.300 0.697 0.003
0.345 0.851 0.345
0.003 0.697 0.300
0.300 0.003 0.697
0.003 0.300 0.697
0.697 0.300 0.003
0.345 0.345 0.851
0.100 0.100 0.100
0.697 0.003 0.300
0.501 0.996 0.996
0.652 0.652 0.159
0.996 0.996 0.501
0.652 0.159 0.652
0.159 0.652 0.652
0.904 0.904 0.904
0.342 0.342 0.342
0.659 0.659 0.659
```

Properties
Its space group is No. 160. The formation energy comes out at -0.036 eV/atom. The energy comes out at -76.81 eV for the cell shown.

(9)
# GaCuHg3

A geometry-optimized GaCuHg3 structure (PBE, Alexandria via LeMat-Bulk).

Geometry as POSCAR:
```
GaCuHg3
1.0
5.095 0.000 0.000
0.000 5.095 0.000
0.000 0.000 5.095
Hg Ga Cu
3 1 1
direct
0.500 0.000 0.000
0.000 0.000 0.500
0.000 0.500 0.000
0.500 0.500 0.500
0.000 0.000 0.000
```

Properties
Its space group is No. 221. The formation energy comes out at 0.237 eV/atom. The energy comes out at -6.84 eV for the cell shown.

(10)
# YTePb2

A geometry-optimized YTePb2 structure (PBE, Alexandria via LeMat-Bulk).

Geometry as POSCAR:
```
YTePb2
1.0
-4.587 -3.752 -7.359
-4.116 -6.917 -4.949
-7.155 -4.377 -4.349
Te Y Pb
1 1 2
direct
0.250 0.250 0.250
0.750 0.750 0.750
0.506 0.506 0.506
0.994 0.994 0.994
```

Properties
Its space group is No. 166. The energy comes out at -17.21 eV for the cell shown. For the formation energy from raw total energies, the calculation gives -0.19 eV per formula unit.

(11)
# NaPrAg2Cl6

A geometry-optimized NaPrAg2Cl6 structure (PBE, Alexandria via LeMat-Bulk).

Geometry as POSCAR:
```
NaPrAg2Cl6
1.0
7.106 -0.060 0.013
-3.604 6.134 -0.065
-3.520 -2.063 6.547
Pr Ag Cl Na
1 2 6 1
direct
0.987 0.496 0.466
0.596 0.804 0.353
0.466 0.234 0.691
0.093 0.211 0.687
0.842 0.602 0.713
0.838 0.729 0.218
0.160 0.411 0.239
0.493 0.098 0.226
0.490 0.890 0.725
0.999 0.003 0.985
```

Properties
Its space group is No. 1. The energy comes out at -37.20 eV for the cell shown. For the formation energy from raw total energies, the calculation gives -14.32 eV per formula unit.

(12)
# Nb2ZnHgH

A geometry-optimized Nb2ZnHgH structure (PBE, Alexandria via LeMat-Bulk).

Geometry as POSCAR:
```
Nb2ZnHgH
1.0
-2.471 -0.326 -3.133
0.755 -3.927 -0.187
-3.549 -0.820 2.884
H Nb Zn Hg
1 2 1 1
direct
0.000 0.000 0.000
0.000 0.500 0.000
0.500 0.000 0.000
0.500 0.500 0.500
0.000 0.000 0.500
```

Properties
Its space group is No. 123. The energy comes out at -24.62 eV for the cell shown.

(13)
# La5Ru2Au2

A geometry-optimized La5Ru2Au2 structure (PBE, Alexandria via LeMat-Bulk).

Geometry as POSCAR:
```
La5Ru2Au2
1.0
7.885 0.000 0.000
0.000 7.081 -3.640
0.000 0.012 8.730
La Ru Au
10 4 4
direct
0.667 0.296 0.250
0.333 0.704 0.750
0.500 0.500 0.000
0.167 0.454 0.250
0.833 0.796 0.250
0.167 0.204 0.750
0.833 0.546 0.750
0.000 0.000 0.000
0.333 0.954 0.250
0.667 0.046 0.750
0.361 0.140 0.000
0.861 0.360 0.000
0.639 0.860 0.000
0.139 0.640 0.000
0.000 0.210 0.420
0.500 0.290 0.580
0.500 0.710 0.420
0.000 0.790 0.580
```

Properties
Its space group is No. 64. The formation energy comes out at -0.519 eV/atom. The energy comes out at -108.83 eV for the cell shown.

(14)
# ZnSe5

A geometry-optimized ZnSe5 structure (PBE, Alexandria via LeMat-Bulk).

Geometry as POSCAR:
```
ZnSe5
1.0
-3.212 -6.347 2.999
-2.155 -4.233 6.086
-7.495 1.185 1.757
Zn Se
1 5
direct
0.267 0.267 0.073
0.268 0.268 0.770
0.634 0.634 0.865
0.000 0.000 0.929
0.915 0.915 0.254
0.750 0.750 0.276
```

Properties
Its space group is No. 8. The energy comes out at -19.08 eV for the cell shown. For the formation energy from raw total energies, the calculation gives -0.38 eV per formula unit.

(15)
# LiMgCd2

A geometry-optimized LiMgCd2 structure (PBE, Alexandria via LeMat-Bulk).

Geometry as POSCAR:
```
LiMgCd2
1.0
-3.212 -3.262 2.451
-0.215 -4.328 2.862
0.027 2.021 5.042
Mg Li Cd
1 1 2
direct
0.250 0.250 0.250
0.750 0.750 0.750
0.495 0.495 0.510
0.005 0.005 0.990
```

Properties
Its space group is No. 12. The formation energy comes out at -0.120 eV/atom. The energy comes out at -5.82 eV for the cell shown.

(16)
# Rb4Ac3NdO8

A geometry-optimized Rb4Ac3NdO8 structure (PBE, Alexandria via LeMat-Bulk).

Geometry as POSCAR:
```
Rb4Ac3NdO8
1.0
7.672 0.000 0.000
0.000 7.987 0.214
-3.836 -3.832 5.427
O Ac Rb Nd
8 3 4 1
direct
0.223 0.683 0.446
0.729 0.686 0.457
0.777 0.317 0.554
0.262 0.317 0.040
0.271 0.314 0.543
0.777 0.317 0.040
0.223 0.683 0.960
0.738 0.683 0.960
0.500 0.500 0.000
0.000 0.500 0.500
0.500 0.500 0.500
0.500 0.000 0.500
0.000 0.000 0.500
0.000 0.000 0.000
0.500 0.000 0.000
0.000 0.500 0.000
```

Properties
Its space group is No. 166. The energy comes out at -101.06 eV for the cell shown. For the formation energy from raw total energies, the calculation gives -40.43 eV per formula unit.

(17)
# AcPr2Al9

A geometry-optimized AcPr2Al9 structure (PBE, Alexandria via LeMat-Bulk).

Geometry as POSCAR:
```
AcPr2Al9
1.0
5.778 0.000 0.000
2.889 5.004 0.000
2.889 1.668 8.905
Al Ac Pr
9 1 2
direct
0.336 0.336 0.993
0.413 0.925 0.249
0.664 0.664 0.007
0.500 0.500 0.500
0.925 0.413 0.249
0.587 0.075 0.751
0.413 0.413 0.249
0.587 0.587 0.751
0.075 0.587 0.751
0.000 0.000 0.000
0.859 0.859 0.424
0.141 0.141 0.576
```

Properties
Its space group is No. 166. The formation energy comes out at -0.377 eV/atom. The energy comes out at -51.87 eV for the cell shown.

(18)
# NaRu2Br

A geometry-optimized NaRu2Br structure (PBE, Alexandria via LeMat-Bulk).

Geometry as POSCAR:
```
NaRu2Br
1.0
-6.727 -3.645 -1.068
3.794 -6.549 -1.548
-1.524 -5.712 1.154
Ru Br Na
4 2 2
direct
0.058 0.625 0.250
0.692 0.125 0.250
0.875 0.942 0.750
0.375 0.308 0.750
0.000 0.000 0.000
0.750 0.250 0.500
0.250 0.750 0.500
0.500 0.500 0.000
```

Properties
Its space group is No. 122. The energy comes out at -34.55 eV for the cell shown. For the formation energy from raw total energies, the calculation gives 4.27 eV per formula unit.

(19)
# AlTeF2

A geometry-optimized AlTeF2 structure (PBE, Alexandria via LeMat-Bulk).

Geometry as POSCAR:
```
AlTeF2
1.0
9.021 -0.039 -0.023
8.451 3.156 -0.023
8.451 1.507 2.772
Te F Al
1 2 1
direct
0.000 0.000 0.000
0.134 0.134 0.134
0.866 0.866 0.866
0.500 0.500 0.500
```

Properties
Its space group is No. 166. The energy comes out at -17.05 eV for the cell shown. For the formation energy from raw total energies, the calculation gives -6.42 eV per formula unit.

(20)
# Be2CrFe

A geometry-optimized Be2CrFe structure (PBE, Alexandria via LeMat-Bulk).

Geometry as POSCAR:
```
Be2CrFe
1.0
2.784 0.000 0.000
0.000 3.727 0.000
0.000 0.000 3.704
Cr Fe Be
1 1 2
direct
0.500 0.000 0.500
0.000 0.500 0.500
0.500 0.500 0.000
0.000 0.000 0.000
```

Properties
Its space group is No. 47. The formation energy comes out at 0.024 eV/atom. The energy comes out at -25.44 eV for the cell shown.